Record 1
The following is a PBE calculation of an optimized crystal structure of La6Pr2DyHo, from the Alexandria database.

Values from the calculation:
* uncorrected energy: -4.72 eV per atom
* crystal system: monoclinic
* formation energy from the elements: 112 meV/atom
* size of the total moment: 0.00 μB/cell

Cell and atoms, written as CIF:
```
data_La6Pr2DyHo
_chemical_formula_sum 'La24 Pr8 Dy4 Ho4'
_space_group_name_H-M_alt 'C 1 2/c 1'
_space_group_IT_number 15
_space_group_name_Hall '-C 2yc'
_cell_length_a 9.9115
_cell_length_b 15.4060
_cell_length_c 9.3216
_cell_angle_alpha 90.00
_cell_angle_beta 90.75
_cell_angle_gamma 90.00
loop_
_atom_site_label
_atom_site_fract_x
_atom_site_fract_y
_atom_site_fract_z
La1 0.0741 0.1450 0.0955
La2 0.0739 0.3497 0.9095
La3 0.2466 0.2817 0.3188
Pr1 0.2495 0.4556 0.5625
Dy1 0.0000 0.4342 0.2500
Ho1 0.0000 0.0712 0.7500
```

***

Record 2
The following is a PBE calculation of an optimized crystal structure of Ho4In3Cu, from the Alexandria database.

Values from the calculation:
* uncorrected energy: -4.24 eV per atom
* crystal system: tetragonal
* formation energy from the elements: -413 meV/atom
* size of the total moment: 0.00 μB/cell

Cell and atoms, written as CIF:
```
data_Ho4In3Cu
_chemical_formula_sum 'Ho4 In3 Cu1'
_space_group_name_H-M_alt 'P 4/m m m'
_space_group_IT_number 123
_space_group_name_Hall '-P 4 2'
_cell_length_a 3.5059
_cell_length_b 3.5059
_cell_length_c 16.1869
_cell_angle_alpha 90.00
_cell_angle_beta 90.00
_cell_angle_gamma 90.00
loop_
_atom_site_label
_atom_site_fract_x
_atom_site_fract_y
_atom_site_fract_z
Ho1 0.0000 0.0000 0.1050
Ho2 0.0000 0.0000 0.3683
In1 0.5000 0.5000 0.2362
In2 0.5000 0.5000 0.5000
Cu1 0.5000 0.5000 0.0000
```

***

Record 3
The following is a PBE calculation of an optimized crystal structure of Tc2GeH2, from the Alexandria database.

Values from the calculation:
* uncorrected energy: -6.07 eV per atom
* distance to the lowest polymorph of the same formula: 0.315 eV/atom
* crystal system: tetragonal
* size of the total moment: 0.00 μB/cell

Cell and atoms, written as CIF:
```
data_Tc2GeH2
_chemical_formula_sum 'Tc4 Ge2 H4'
_space_group_name_H-M_alt 'P 4/m b m'
_space_group_IT_number 127
_space_group_name_Hall '-P 4 2ab'
_cell_length_a 5.6524
_cell_length_b 5.6524
_cell_length_c 3.0958
_cell_angle_alpha 90.00
_cell_angle_beta 90.00
_cell_angle_gamma 90.00
loop_
_atom_site_label
_atom_site_fract_x
_atom_site_fract_y
_atom_site_fract_z
Tc1 0.1749 0.3251 0.0000
Ge1 0.0000 0.0000 0.5000
H1 0.0636 0.5636 0.5000
```

***

Record 4
The following is a PBE calculation of an optimized crystal structure of Mg2In5Pt3, from the Alexandria database.

Values from the calculation:
* uncorrected energy: -3.96 eV per atom
* crystal system: orthorhombic
* formation energy from the elements: -459 meV/atom
* size of the total moment: 0.00 μB/cell

Cell and atoms, written as CIF:
```
data_Mg2In5Pt3
_chemical_formula_sum 'Mg8 In20 Pt12'
_space_group_name_H-M_alt 'C m c 21'
_space_group_IT_number 36
_space_group_name_Hall 'C 2c -2'
_cell_length_a 4.4201
_cell_length_b 29.5305
_cell_length_c 6.4139
_cell_angle_alpha 90.00
_cell_angle_beta 90.00
_cell_angle_gamma 90.00
loop_
_atom_site_label
_atom_site_fract_x
_atom_site_fract_y
_atom_site_fract_z
Mg1 0.0000 0.0210 0.0000
Mg2 0.0000 0.3473 0.0903
In1 0.0000 0.0870 0.3784
In2 0.0000 0.2027 0.9722
In3 0.0000 0.2180 0.4831
In4 0.0000 0.3769 0.5747
In5 0.0000 0.4459 0.2103
Pt1 0.0000 0.1141 0.7903
Pt2 0.0000 0.2913 0.7460
Pt3 0.0000 0.4649 0.7812
```

***

Record 5
The following is a PBE calculation of an optimized crystal structure of MgNiGe, from the Alexandria database.

Values from the calculation:
* uncorrected energy: -4.29 eV per atom
* crystal system: monoclinic
* formation energy from the elements: -297 meV/atom
* size of the total moment: 0.00 μB/cell

Cell and atoms, written as CIF:
```
data_MgNiGe
_chemical_formula_sum 'Mg4 Ni4 Ge4'
_space_group_name_H-M_alt 'C 1 m 1'
_space_group_IT_number 8
_space_group_name_Hall 'C -2y'
_cell_length_a 7.2097
_cell_length_b 4.1645
_cell_length_c 6.8812
_cell_angle_alpha 90.00
_cell_angle_beta 110.24
_cell_angle_gamma 90.00
loop_
_atom_site_label
_atom_site_fract_x
_atom_site_fract_y
_atom_site_fract_z
Mg1 0.0000 0.0000 0.0000
Mg2 0.1591 0.0000 0.4791
Ni1 0.2267 0.5000 0.1800
Ni2 0.2902 0.0000 0.8700
Ge1 0.0918 0.5000 0.7735
Ge2 0.4165 0.0000 0.2509
```

***

Record 6
The following is a PBE calculation of an optimized crystal structure of ReAg2Pt, from the Alexandria database.

Values from the calculation:
* uncorrected energy: -5.83 eV per atom
* distance to the lowest polymorph of the same formula: 0.036 eV/atom
* crystal system: trigonal
* formation energy from the elements: 216 meV/atom
* size of the total moment: 0.65 μB/cell

Cell and atoms, written as CIF:
```
data_ReAg2Pt
_chemical_formula_sum 'Re3 Ag6 Pt3'
_space_group_name_H-M_alt 'R 3 m'
_space_group_IT_number 160
_space_group_name_Hall 'R 3 -2"'
_cell_length_a 2.8208
_cell_length_b 2.8208
_cell_length_c 28.4114
_cell_angle_alpha 90.00
_cell_angle_beta 90.00
_cell_angle_gamma 120.00
loop_
_atom_site_label
_atom_site_fract_x
_atom_site_fract_y
_atom_site_fract_z
Re1 0.0000 0.0000 0.0000
Ag1 0.0000 0.0000 0.5045
Ag2 0.0000 0.0000 0.7515
Pt1 0.0000 0.0000 0.2572
```

***

Record 7
The following is a PBE calculation of an optimized crystal structure of TlAsCl, from the Alexandria database.

Values from the calculation:
* uncorrected energy: -2.83 eV per atom
* formation energy (no corrections): 0.128 eV/atom
* distance to the lowest polymorph of the same formula: 0.235 eV/atom
* crystal system: tetragonal
* size of the total moment: 0.01 μB/cell

Cell and atoms, written as CIF:
```
data_TlAsCl
_chemical_formula_sum 'Tl2 As2 Cl2'
_space_group_name_H-M_alt 'I 4 m m'
_space_group_IT_number 107
_space_group_name_Hall 'I 4 -2'
_cell_length_a 3.3052
_cell_length_b 3.3052
_cell_length_c 13.8580
_cell_angle_alpha 90.00
_cell_angle_beta 90.00
_cell_angle_gamma 90.00
loop_
_atom_site_label
_atom_site_fract_x
_atom_site_fract_y
_atom_site_fract_z
Tl1 0.0000 0.0000 0.0000
As1 0.0000 0.0000 0.3318
Cl1 0.0000 0.0000 0.6374
```